Entry 1:
## Pt3Rh6W (GGA-PBE)

Data for a relaxed Pt3Rh6W crystal.

- VASP energy: -7.34 eV/atom
- ΔH_f (0 K): 0.182 eV per atom
- ρ: 14.6 g/cm3

abc: 5.1435 5.1435 6.8628
angles: 90.00 90.00 120.00
Last column: nearest neighbours and their distance in Å.
Space group P-31m (No. 162)
Symmetry-distinct sites (fractional):
1 Pt 0.0000 0.0000 0.0000 [1 per cell]  6 Pt 2.97, 6 Rh 3.03
2 Pt 0.3333 0.6667 0.0000 [2 per cell]  6 Rh 2.66, 6 Pt 2.97
3 Rh 0.0000 0.4132 0.3157 [6 per cell]  1 W 2.47, 2 Pt 2.66, 5 Rh 2.68-2.69
4 W 0.0000 0.0000 0.5000 [1 per cell]  6 Rh 2.47

=====

Entry 2:
## Pt2Rh2W3 (GGA-PBE)

Data for a relaxed Pt2Rh2W3 crystal.

- VASP energy: -9.53 eV/atom
- ΔH_f (0 K): -0.151 eV per atom
- ρ: 17.8 g/cm3

abc: 4.1157 18.9583 2.7461
angles: 90.00 90.00 90.00
Last column: nearest neighbours and their distance in Å.
Space group Cmmm (No. 65)
Symmetry-distinct sites (fractional):
1 Pt 0.0000 0.0709 0.0000 [4 per cell]  1 Rh 2.63, 3 Pt 2.69-2.75, 8 W 2.82-2.91
2 Rh 0.0000 0.2096 0.0000 [4 per cell]  4 Rh 2.57-2.75, 1 Pt 2.63, 4 W 2.70
3 W 0.0000 0.3478 0.5000 [4 per cell]  6 Rh 2.70-2.96, 3 W 2.75-2.89, 4 Pt 2.91
4 W 0.0000 0.5000 0.5000 [2 per cell]  4 W 2.75-2.89, 8 Pt 2.82

=====

Entry 3:
## PtRhW2 (GGA-PBE)

Data for a relaxed PtRhW2 crystal.

- VASP energy: -9.88 eV/atom
- Relative energy among the computed polymorphs: 177 meV per atom
- ΔH_f (0 K): -0.057 eV per atom
- ρ: 17.9 g/cm3

abc: 2.7873 2.7873 27.5663
angles: 90.00 90.00 120.00
Last column: nearest neighbours and their distance in Å.
Space group R-3m (No. 166, hexagonal axes)
Symmetry-distinct sites (fractional):
1 Pt 0.0000 0.0000 0.0000 [3 per cell]  6 Pt 2.79, 6 W 2.84
2 Rh 0.0000 0.0000 0.5000 [3 per cell]  6 W 2.77, 6 Rh 2.79
3 W 0.0000 0.0000 0.2483 [6 per cell]  3 Rh 2.77, 6 W 2.79, 3 Pt 2.84

=====

Entry 4:
## Pt6Rh2W (GGA-PBE)

Data for a relaxed Pt6Rh2W crystal.

- VASP energy: -7.11 eV/atom
- ΔH_f (0 K): -0.012 eV per atom
- ρ: 18.0 g/cm3

abc: 16.7959 7.1735 4.9742
angles: 90.00 106.29 90.00
Last column: nearest neighbours and their distance in Å.
Space group C2/c (No. 15)
Symmetry-distinct sites (fractional):
1 Pt 0.0763 0.0616 0.1908 [8 per cell]  7 Pt 2.64-2.87, 2 W 2.68-2.78, 1 Rh 2.72
2 Pt 0.0842 0.4066 0.3947 [8 per cell]  6 Pt 2.66-2.83, 2 W 2.69-2.73, 1 Rh 2.78
3 Pt 0.1655 0.2581 0.9079 [8 per cell]  1 W 2.67, 5 Pt 2.72-2.79, 4 Rh 2.73-2.77
4 Rh 0.2440 0.0790 0.4059 [8 per cell]  3 Rh 2.61-2.73, 6 Pt 2.72-2.78
5 W 0.0000 0.2731 0.7500 [4 per cell]  10 Pt 2.67-2.78